An optimized crystal structure of TbPrGa2Pt5, computed with PBE.

Properties
magnetization	0.0	Bohr magnetons per cell
DOS(E_F)	4.500	states/eV per cell
space group	No. 123
DFT total energy	-5.9599	eV/atom
calculated formation energy	-0.886	eV per atom

Lattice parameters (Å, degrees): 4.241 4.241 9.387 90.00 90.00 90.00
Positions (direct):
Tb (0.000, 0.000, 0.000)
Pr (0.000, 0.000, 0.500)
Ga (0.500, 0.500, 0.130)
Ga (0.500, 0.500, 0.870)
Pt (0.000, 0.500, 0.269)
Pt (0.000, 0.500, 0.731)
Pt (0.500, 0.000, 0.269)
Pt (0.500, 0.000, 0.731)
Pt (0.500, 0.500, 0.500)



An optimized crystal structure of Re2HOs, computed with PBE.

Properties
magnetization	0.0	Bohr magnetons per cell
DOS(E_F)	9.100	states/eV per cell
space group	No. 122
DFT total energy	-9.4453	eV/atom

Lattice parameters (Å, degrees): 5.034 5.034 5.034 105.57 105.57 117.58
Positions (direct):
Re (0.031, 0.625, 0.906)
Re (0.375, 0.281, 0.406)
Re (0.719, 0.125, 0.094)
Re (0.875, 0.969, 0.594)
H (0.000, 0.000, 0.000)
H (0.750, 0.250, 0.500)
Os (0.250, 0.750, 0.500)
Os (0.500, 0.500, 0.000)



An optimized crystal structure of Y2HoPaRu2, computed with PBE.

Properties
magnetization	0.0	Bohr magnetons per cell
DOS(E_F)	11.686	states/eV per cell
space group	No. 72
DFT total energy	-7.8945	eV/atom
calculated formation energy	-0.302	eV per atom

Lattice parameters (Å, degrees): 8.348 8.348 8.348 131.90 69.82 132.62
Positions (direct):
Y (0.195, 0.205, 0.399)
Y (0.305, 0.705, 0.010)
Y (0.695, 0.295, 0.990)
Y (0.805, 0.795, 0.601)
Ho (0.250, 0.750, 0.500)
Ho (0.750, 0.250, 0.500)
Pa (0.250, 0.250, 0.000)
Pa (0.750, 0.750, 0.000)
Ru (0.102, 0.794, 0.897)
Ru (0.398, 0.294, 0.692)
Ru (0.602, 0.706, 0.308)
Ru (0.898, 0.206, 0.103)



An optimized crystal structure of UIn2P2Pt7, computed with PBE.

Properties
magnetization	1.8	Bohr magnetons per cell
DOS(E_F)	9.721	states/eV per cell
space group	No. 12
DFT total energy	-6.3369	eV/atom
calculated formation energy	-0.514	eV per atom

Lattice parameters (Å, degrees): 3.956 3.956 15.448 97.22 97.22 90.01
Positions (direct):
U (0.000, 0.000, 0.000)
In (0.213, 0.213, 0.427)
In (0.787, 0.787, 0.573)
P (0.383, 0.383, 0.762)
P (0.617, 0.617, 0.238)
Pt (0.073, 0.573, 0.149)
Pt (0.306, 0.306, 0.613)
Pt (0.427, 0.927, 0.851)
Pt (0.500, 0.500, 0.000)
Pt (0.573, 0.073, 0.149)
Pt (0.694, 0.694, 0.387)
Pt (0.927, 0.427, 0.851)



An optimized crystal structure of PmHo4Cd4, computed with PBE.

Properties
magnetization	0.0	Bohr magnetons per cell
DOS(E_F)	13.702	states/eV per cell
space group	No. 86
DFT total energy	-3.0825	eV/atom
calculated formation energy	-0.113	eV per atom

Lattice parameters (Å, degrees): 9.508 9.508 5.540 90.00 90.00 90.00
Positions (direct):
Pm (0.250, 0.250, 0.250)
Pm (0.750, 0.750, 0.750)
Ho (0.099, 0.825, 0.686)
Ho (0.175, 0.599, 0.186)
Ho (0.325, 0.901, 0.186)
Ho (0.401, 0.675, 0.686)
Ho (0.599, 0.325, 0.314)
Ho (0.675, 0.099, 0.814)
Ho (0.825, 0.401, 0.814)
Ho (0.901, 0.175, 0.314)
Cd (0.049, 0.145, 0.812)
Cd (0.145, 0.451, 0.688)
Cd (0.355, 0.049, 0.688)
Cd (0.451, 0.355, 0.812)
Cd (0.549, 0.645, 0.188)
Cd (0.645, 0.951, 0.312)
Cd (0.855, 0.549, 0.312)
Cd (0.951, 0.855, 0.188)



An optimized crystal structure of MgTiPd2, computed with PBE.

Properties
magnetization	0.0	Bohr magnetons per cell
DOS(E_F)	3.762	states/eV per cell
space group	No. 123
DFT total energy	-5.5984	eV/atom
calculated formation energy	-0.630	eV per atom

Lattice parameters (Å, degrees): 3.101 3.101 6.753 90.00 90.00 90.00
Positions (direct):
Mg (0.000, 0.000, 0.000)
Ti (0.000, 0.000, 0.500)
Pd (0.500, 0.500, 0.265)
Pd (0.500, 0.500, 0.735)



An optimized crystal structure of NaPm3Co, computed with PBE.

Properties
magnetization	0.0	Bohr magnetons per cell
DOS(E_F)	3.459	states/eV per cell
space group	No. 221
DFT total energy	-4.4624	eV/atom
calculated formation energy	0.073	eV per atom

Lattice parameters (Å, degrees): 5.437 5.437 5.437 90.00 90.00 90.00
Positions (direct):
Na (0.000, 0.000, 0.000)
Pm (0.000, 0.500, 0.500)
Pm (0.500, 0.000, 0.500)
Pm (0.500, 0.500, 0.000)
Co (0.500, 0.500, 0.500)



An optimized crystal structure of YHg4As, computed with PBE.

Properties
magnetization	0.0	Bohr magnetons per cell
DOS(E_F)	3.557	states/eV per cell
space group	No. 216
DFT total energy	-2.0197	eV/atom
calculated formation energy	0.034	eV per atom

Lattice parameters (Å, degrees): 5.943 5.943 5.943 60.00 60.00 60.00
Positions (direct):
Y (0.000, 0.000, 0.000)
Hg (0.375, 0.375, 0.375)
Hg (0.375, 0.375, 0.874)
Hg (0.375, 0.874, 0.375)
Hg (0.874, 0.375, 0.375)
As (0.750, 0.750, 0.750)